1.
This record from OQMD via LeMat-Bulk describes Rb4Cu2BiSb after structural relaxation. The functional is GGA-PBE.

As for the density: 4363 kg/m³. For the uncorrected energy, the calculation gives -2.685 eV per atom.

The structure belongs to space group Amm2 (No. 38); the cell edges are 6.803, 11.219 and 7.977 Å and the angles 90.00°, 90.00° and 90.00°. The distinct sites, in fractional coordinates, are Rb at (0.000, 0.165, 0.000), Rb at (0.500, 0.168, 0.344), Cu at (0.258, 0.000, 0.679), Bi at (0.000, 0.000, 0.436) and Sb at (0.500, 0.000, 0.918).

***

2.
This record from OQMD via LeMat-Bulk describes La3Sn3IrPt2 after structural relaxation. The functional is GGA-PBE.

As for the density: 10526 kg/m³. For the uncorrected energy, the calculation gives -6.343 eV per atom.

The structure belongs to space group P-62m (No. 189); the cell edges are 7.6589, 7.6589 and 4.2087 Å and the angles 90.00°, 90.00° and 120.00°. The distinct sites, in fractional coordinates, are La at (0.0000, 0.4141, 0.0000), Sn at (0.0000, 0.7551, 0.5000), Ir at (0.0000, 0.0000, 0.0000) and Pt at (0.3333, 0.6667, 0.5000).

***

3.
This record from OQMD via LeMat-Bulk describes LiTmZr after structural relaxation. The functional is GGA-PBE.

As for the density: 5486 kg/m³. For the uncorrected energy, the calculation gives -3.809 eV per atom.

The structure belongs to space group F-43m (No. 216); the cell edges are 6.864, 6.864 and 6.864 Å and the angles 90.00°, 90.00° and 90.00°. The distinct sites, in fractional coordinates, are Li at (0.000, 0.000, 0.000), Tm at (0.250, 0.250, 0.250) and Zr at (0.000, 0.000, 0.500).

***

4.
This record from OQMD via LeMat-Bulk describes IrF3 after structural relaxation. The functional is GGA-PBE.

As for the density: 8226 kg/m³. For the uncorrected energy, the calculation gives -4.696 eV per atom.

The structure belongs to space group P6_3/mcm (No. 193); the cell edges are 4.4803, 4.4803 and 5.7880 Å and the angles 90.00°, 90.00° and 120.00°. The distinct sites, in fractional coordinates, are Ir at (0.0000, 0.0000, 0.0000) and F at (0.0000, 0.3171, 0.2500).